MnCrTeO6 PBE with a Hubbard U relaxed; total magnetic moment = 0.7778 μB per atom; energy = -6.687 eV per atom; volume = 207 Å³ per cell
1.0
5.121 0.000 0.000
-2.560 4.435 0.000
0.000 0.000 9.122
Mn Cr Te O
2 2 2 12
Direct
0.000 0.000 0.000 Mn
0.000 0.000 0.500 Mn
0.333 0.667 0.250 Cr
0.667 0.333 0.750 Cr
0.333 0.667 0.750 Te
0.667 0.333 0.250 Te
0.004 0.357 0.633 O
0.004 0.647 0.867 O
0.353 0.357 0.867 O
0.353 0.996 0.633 O
0.357 0.004 0.133 O
0.357 0.353 0.367 O
0.643 0.647 0.633 O
0.643 0.996 0.867 O
0.647 0.004 0.367 O
0.647 0.643 0.133 O
0.996 0.353 0.133 O
0.996 0.643 0.367 O